# 1
## La2Zn3Pt (PBE)

Data for a relaxed structure of La2Zn3Pt.

Properties
Formation enthalpy at 0 K = -0.63 eV/atom
E above lowest polymorph = 0.0 kJ/mol of atoms
Theoretical density = 8.07 g/cm³
Magnetic moment = 0.0 μB per formula unit

Lattice parameters (Å, degrees): 3.8372 4.5646 7.8573 90.00 90.00 90.00
Space group Pmm2 (No. 25)
Symmetry-distinct sites (fractional):
La: 0.0000 0.0000 0.0000 x1
La: 0.0000 0.5000 0.4615 x1
Zn: 0.5000 0.0000 0.6525 x1
Zn: 0.5000 0.5000 0.1382 x1
Zn: 0.5000 0.5000 0.8078 x1
Pt: 0.5000 0.0000 0.3124 x1

---

# 2
## Cu2SiAs (PBE)

Data for a relaxed structure of Cu2SiAs.

Properties
Theoretical density = 6.34 g/cm³
E_form (uncorrected) = 0.9 eV per formula unit
Magnetic moment = 0.0 μB per formula unit

Lattice parameters (Å, degrees): 2.7369 3.9632 5.6715 90.00 101.79 90.00
Space group P2/m (No. 10)
Symmetry-distinct sites (fractional):
Cu: 0.1705 0.0000 0.2966 x2
Si: 0.0000 0.5000 0.5000 x1
As: 0.0000 0.5000 0.0000 x1

---

# 3
## LiMg2H6Rh (PBE)

Data for a relaxed structure of LiMg2H6Rh.

Properties
Theoretical density = 2.95 g/cm³
Final energy = -3.45 eV per atom
Magnetic moment = 0.0 μB per formula unit

Lattice parameters (Å, degrees): 4.5377 4.5377 5.1944 90.00 90.00 120.00
Space group P-3m1 (No. 164)
Symmetry-distinct sites (fractional):
Li: 0.0000 0.0000 0.0000 x1
Mg: 0.3333 0.6667 0.2899 x2
H: 0.1677 0.3355 0.7086 x6
Rh: 0.0000 0.0000 0.5000 x1

---

# 4
## FeBN3 (PBE)

Data for a relaxed structure of FeBN3.

Properties
Theoretical density = 5.07 g/cm³
E_form (uncorrected) = 7.6 eV per formula unit
Magnetic moment = 0.0 μB per formula unit

Lattice parameters (Å, degrees): 3.2886 3.2886 3.2886 90.00 90.00 90.00
Space group Pm-3m (No. 221)
Symmetry-distinct sites (fractional):
Fe: 0.0000 0.0000 0.0000 x1
B: 0.5000 0.5000 0.5000 x1
N: 0.0000 0.5000 0.5000 x3

---

Please write out number 1 again, unchanged.
## La2Zn3Pt (PBE)

Data for a relaxed structure of La2Zn3Pt.

Properties
Formation enthalpy at 0 K = -0.63 eV/atom
E above lowest polymorph = 0.0 kJ/mol of atoms
Theoretical density = 8.07 g/cm³
Magnetic moment = 0.0 μB per formula unit

Lattice parameters (Å, degrees): 3.8372 4.5646 7.8573 90.00 90.00 90.00
Space group Pmm2 (No. 25)
Symmetry-distinct sites (fractional):
La: 0.0000 0.0000 0.0000 x1
La: 0.0000 0.5000 0.4615 x1
Zn: 0.5000 0.0000 0.6525 x1
Zn: 0.5000 0.5000 0.1382 x1
Zn: 0.5000 0.5000 0.8078 x1
Pt: 0.5000 0.0000 0.3124 x1

---

> Which formula does entry 3 have?

LiMg2H6Rh